Ta8Cr | PBE | relaxed

a = 7.148 Å, b = 7.148 Å, c = 7.148 Å
α = 92.99°, β = 92.99°, γ = 153.60°
Sites, in units of the cell vectors:
1 Ta 0.000 0.332 0.332
2 Ta 0.341 0.341 0.681
3 Ta 0.668 0.000 0.668
4 Ta 0.659 0.341 0.000
5 Ta 0.000 0.668 0.668
6 Ta 0.659 0.659 0.319
7 Ta 0.332 0.000 0.332
8 Ta 0.341 0.659 0.000
9 Cr 0.000 0.000 0.000

Calculated values
Density (Mg/m³): 15.8
Formation energy (eV per atom): 0.03
Space-group type: I4/mmm, No. 139
Total magnetic moment (Bohr magnetons per cell): 0.000